# PBE with a Hubbard U AlV2O4, relaxed
data_AlV2O4
_cell_length_a 5.9848
_cell_length_b 5.9848
_cell_length_c 8.3193
_cell_angle_alpha 90.00
_cell_angle_beta 90.00
_cell_angle_gamma 90.00
_symmetry_space_group_name_H-M 'P 43 21 2'
_symmetry_Int_Tables_number 96
_symmetry_space_group_name_Hall 'P 4nw 2abw'
loop_
_atom_site_label
_atom_site_fract_x
_atom_site_fract_y
_atom_site_fract_z
Al1 0.2466 0.2466 0.0000
V1 0.0117 0.2451 0.6193
O1 0.0015 0.2606 0.3689
O2 0.0026 0.2424 0.8722
# M_tot = 20.000 Bohr magnetons per cell
# Crystal system = tetragonal
# Raw total energy = -7.79 eV/atom
# E above lowest polymorph = 0 meV per atom
# Mass density = 4.30 g/cm³